Below is Ge4Mo2Rh after structural relaxation, with properties calculated at the GGA-PBE level.

crystal system: tetragonal
formation energy: 0.615 eV per atom

Cell and atoms, written as CIF:
```
data_Ge4Mo2Rh
_chemical_formula_sum 'Ge8 Mo4 Rh2'
_cell_length_a 4.757
_cell_length_b 4.757
_cell_length_c 12.635
_cell_angle_alpha 90.00
_cell_angle_beta 90.00
_cell_angle_gamma 90.00
_symmetry_space_group_name_H-M 'I 4/m m m'
_symmetry_Int_Tables_number 139
_symmetry_space_group_name_Hall '-I 4 2'
loop_
_atom_site_label
_atom_site_fract_x
_atom_site_fract_y
_atom_site_fract_z
_atom_site_occupancy
Ge1 0.000 0.000 0.198 1
Ge2 0.000 0.500 0.000 1
Mo1 0.000 0.000 0.402 1
Rh1 0.000 0.000 0.000 1
```

Below is Ba2BPb after structural relaxation, with properties calculated at the GGA-PBE level.

crystal system: tetragonal
formation energy: 0.341 eV per atom
polymorph energy (0 for the lowest one): 0.0 meV/atom

Cell and atoms, written as CIF:
```
data_Ba2BPb
_chemical_formula_sum 'Ba8 B4 Pb4'
_cell_length_a 11.895
_cell_length_b 11.895
_cell_length_c 4.818
_cell_angle_alpha 90.00
_cell_angle_beta 90.00
_cell_angle_gamma 90.00
_symmetry_space_group_name_H-M 'I -4 2 d'
_symmetry_Int_Tables_number 122
_symmetry_space_group_name_Hall 'I -4 2bw'
loop_
_atom_site_label
_atom_site_fract_x
_atom_site_fract_y
_atom_site_fract_z
_atom_site_occupancy
Ba1 0.059 0.250 0.125 1
B1 0.000 0.000 0.000 1
Pb1 0.000 0.000 0.500 1
```

Below is LiTlIn2Se4 after structural relaxation, with properties calculated at the GGA-PBE level.

crystal system: tetragonal
energy relative to the elements, uncorrected: -0.608 eV/atom

Cell and atoms, written as CIF:
```
data_LiTlIn2Se4
_chemical_formula_sum 'Li2 Tl2 In4 Se8'
_cell_length_a 6.053
_cell_length_b 6.053
_cell_length_c 13.898
_cell_angle_alpha 90.00
_cell_angle_beta 90.00
_cell_angle_gamma 90.00
_symmetry_space_group_name_H-M 'I -4 2 m'
_symmetry_Int_Tables_number 121
_symmetry_space_group_name_Hall 'I -4 2'
loop_
_atom_site_label
_atom_site_fract_x
_atom_site_fract_y
_atom_site_fract_z
_atom_site_occupancy
Li1 0.000 0.000 0.000 1
Tl1 0.000 0.000 0.500 1
In1 0.000 0.500 0.250 1
Se1 0.219 0.219 0.139 1
```

Below is HfScIn after structural relaxation, with properties calculated at the GGA-PBE level.

crystal system: tetragonal
formation energy: 0.010 eV per atom
polymorph energy (0 for the lowest one): 243.9 meV/atom

Cell and atoms, written as CIF:
```
data_HfScIn
_chemical_formula_sum 'Hf8 Sc8 In8'
_cell_length_a 10.868
_cell_length_b 10.868
_cell_length_c 5.007
_cell_angle_alpha 90.00
_cell_angle_beta 90.00
_cell_angle_gamma 90.00
_symmetry_space_group_name_H-M 'I 4/m m m'
_symmetry_Int_Tables_number 139
_symmetry_space_group_name_Hall '-I 4 2'
loop_
_atom_site_label
_atom_site_fract_x
_atom_site_fract_y
_atom_site_fract_z
_atom_site_occupancy
Hf1 0.000 0.378 0.000 1
Sc1 0.168 0.168 0.000 1
In1 0.000 0.223 0.500 1
```

Below is BaCdBr2 after structural relaxation, with properties calculated at the GGA-PBE level.

crystal system: trigonal
energy relative to the elements, uncorrected: -0.707 eV/atom
polymorph energy (0 for the lowest one): 727.9 meV/atom

Cell and atoms, written as CIF:
```
data_BaCdBr2
_chemical_formula_sum 'Ba3 Cd3 Br6'
_cell_length_a 4.6994
_cell_length_b 4.6994
_cell_length_c 27.8337
_cell_angle_alpha 90.00
_cell_angle_beta 90.00
_cell_angle_gamma 120.00
_symmetry_space_group_name_H-M 'R -3 m'
_symmetry_Int_Tables_number 166
_symmetry_space_group_name_Hall '-R 3 2"'
loop_
_atom_site_label
_atom_site_fract_x
_atom_site_fract_y
_atom_site_fract_z
_atom_site_occupancy
Ba1 0.0000 0.0000 0.0000 1
Cd1 0.0000 0.0000 0.5000 1
Br1 0.0000 0.0000 0.1133 1
```

Below is TbYBi2O6 after structural relaxation, with properties calculated at the GGA-PBE level.

crystal system: trigonal
energy relative to the elements, uncorrected: -2.359 eV/atom

Cell and atoms, written as CIF:
```
data_TbYBi2O6
_chemical_formula_sum 'Tb3 Y3 Bi6 O18'
_cell_length_a 6.0403
_cell_length_b 6.0403
_cell_length_c 15.2998
_cell_angle_alpha 90.00
_cell_angle_beta 90.00
_cell_angle_gamma 120.00
_symmetry_space_group_name_H-M 'R 3'
_symmetry_Int_Tables_number 146
_symmetry_space_group_name_Hall 'R 3'
loop_
_atom_site_label
_atom_site_fract_x
_atom_site_fract_y
_atom_site_fract_z
_atom_site_occupancy
Tb1 0.0000 0.0000 0.0000 1
Y1 0.0000 0.0000 0.4995 1
Bi1 0.0000 0.0000 0.2862 1
Bi2 0.0000 0.0000 0.7863 1
O1 0.0715 0.3739 0.0574 1
O2 0.0718 0.6993 0.5573 1
```

Across the entries above, ρ takes the values 6.80, 4.80, 4.94, 7.60, 3.83, 7.85 g/cm3, respectively.